1.
DFT (PBE) results for a geometry-optimized LiLaHfZr2 structure.

Formation energy ... 4.08 eV/f.u.
Total magnetization ... 0.0 μB/f.u.
Final energy ... -29.8 eV per formula unit

abc: 4.9947 4.8641 4.9947
angles: 90.00 90.00 90.00
With the nearest neighbours (Å) after each atom.
Element x y z (fractional)
Li: 0.0000 0.0000 0.0000  2 La 2.43, 4 Zr 2.50
Hf: 0.5000 0.5000 0.5000  8 Zr 3.49, 4 La 3.53
Zr: 0.0000 0.0000 0.5000  2 Li 2.50
Zr: 0.5000 0.0000 0.0000  2 Li 2.50
La: 0.0000 0.5000 0.0000  2 Li 2.43

=====

2.
DFT (PBE) results for a geometry-optimized La2LuHf structure.

Formation energy ... 0.71 eV/f.u.
Energy above the most stable polymorph in this dataset ... 4.3 meV/atom
Total magnetization ... 0.0 μB/f.u.
Final energy ... -23.6 eV per formula unit

abc: 3.5094 3.5094 11.4503
angles: 81.18 81.18 60.00
With the nearest neighbours (Å) after each atom.
Element x y z (fractional)
Lu: 0.5000 0.5000 0.5000  6 Lu 3.51, 6 La 3.59
Hf: 0.0000 0.0000 0.0000  6 La 3.35, 6 Hf 3.51
La: 0.7457 0.7457 0.7628  3 Hf 3.35, 6 La 3.51, 3 Lu 3.59
La: 0.2543 0.2543 0.2372  3 Hf 3.35, 6 La 3.51, 3 Lu 3.59